# 1
An optimized crystal structure of BaTlS2N, computed with PBE. Values from VASP.

Values from the calculation:
Energy relative to the elements, uncorrected: -0.01 eV/atom
Mass density: 5.46 g/cm3
Distance to the lowest polymorph of the same formula: 0.000 eV/atom

Cell and atoms, written as Quantum ESPRESSO input:
```
&SYSTEM
  ibrav = 0, nat = 5, ntyp = 4
/
ATOMIC_SPECIES
Ba 137.33 Ba.upf
Tl 204.38 Tl.upf
S 32.06 S.upf
N 14.01 N.upf
ATOMIC_POSITIONS angstrom
Ba 0.0000 0.0000 0.0000
Tl 2.6742 2.6742 2.2321
S 0.0000 2.6742 2.2321
S 2.6742 0.0000 2.2321
N 2.6742 2.6742 0.0000
CELL_PARAMETERS angstrom
5.3484 0.0000 0.0000
0.0000 5.3484 0.0000
0.0000 0.0000 4.4642
```

***

# 2
An optimized crystal structure of Cs2TmBeO4, computed with PBE. Values from VASP.

Values from the calculation:
Energy relative to the elements, uncorrected: -1.94 eV/atom
Mass density: 4.50 g/cm3

Cell and atoms, written as Quantum ESPRESSO input:
```
&SYSTEM
  ibrav = 0, nat = 16, ntyp = 4
/
ATOMIC_SPECIES
Cs 132.91 Cs.upf
Tm 168.93 Tm.upf
Be 9.01 Be.upf
O 16.00 O.upf
ATOMIC_POSITIONS angstrom
Cs 1.9071 4.6487 1.2061
Cs 3.1784 7.7478 7.1535
Cs 1.9071 4.6487 16.6360
Cs 3.1784 7.7478 22.5834
Tm 0.6357 1.5496 2.9737
Tm 4.4498 10.8469 20.8158
Be 1.9071 4.6487 8.9211
Be 3.1784 7.7478 14.8684
O 2.8855 3.6511 7.9749
O 2.8855 5.6463 9.8672
O 4.1569 6.7502 15.8146
O 4.1569 8.7454 13.9223
O 0.9286 3.6511 9.8672
O 0.9286 5.6463 7.9749
O 2.2000 6.7502 13.9223
O 2.2000 8.7454 15.8146
CELL_PARAMETERS angstrom
0.0000 6.1982 11.8947
2.5428 0.0000 11.8947
2.5428 6.1982 0.0000
```